VASP calculation (PBE) on Na2MgHgP after structural relaxation.

Output
The value obtained for the calculated formation energy is -0.2106 eV per atom. As for the space group: P4/mmm.

a = 5.486 Å, b = 5.486 Å, c = 4.886 Å
α = 90.00°, β = 90.00°, γ = 90.00°
Atoms (fractional coordinates):
Na 0.000 0.500 0.000
Na 0.500 0.000 0.000
Mg 0.000 0.000 0.500
Hg 0.500 0.500 0.500
P 0.000 0.000 0.000